# MnGaNiOs, relaxed, DFT PBE
# M_tot = 15.3 μB per cell
# ΔH_f (0 K) = -0.068 eV per atom
# calculated total energy = -117.92 eV for the cell shown
data_MnGaNiOs
_cell_length_a 5.9502
_cell_length_b 5.9502
_cell_length_c 5.9502
_cell_angle_alpha 90.00
_cell_angle_beta 90.00
_cell_angle_gamma 90.00
_space_group_name_H-M_alt 'F -4 3 m'
_space_group_IT_number 216
_space_group_name_Hall 'F -4 2 3'
loop_
_atom_site_label
_atom_site_type_symbol
_atom_site_fract_x
_atom_site_fract_y
_atom_site_fract_z
Mn1 Mn 0.0000 0.0000 0.0000
Ga1 Ga 0.0000 0.0000 0.5000
Ni1 Ni 0.2500 0.2500 0.7500
Os1 Os 0.2500 0.2500 0.2500

=====

# Pa2MnGa3Ni12, relaxed, DFT PBE
# M_tot = 12.6 μB per cell
# ΔH_f (0 K) = -0.045 eV per atom
# calculated total energy = -322.28 eV for the cell shown
data_Pa2MnGa3Ni12
_cell_length_a 6.3807
_cell_length_b 6.3807
_cell_length_c 23.1190
_cell_angle_alpha 90.00
_cell_angle_beta 90.00
_cell_angle_gamma 120.00
_space_group_name_H-M_alt 'R -3 m'
_space_group_IT_number 166
_space_group_name_Hall '-R 3 2"'
loop_
_atom_site_label
_atom_site_type_symbol
_atom_site_fract_x
_atom_site_fract_y
_atom_site_fract_z
Pa1 Pa 0.0000 0.0000 0.1368
Mn1 Mn 0.0000 0.0000 0.5000
Ga1 Ga 0.0000 0.5000 0.0000
Ni1 Ni 0.0535 0.5267 0.8885
Ni2 Ni 0.0773 0.5387 0.6210

=====

# PaMnGaNi, relaxed, DFT PBE
# M_tot = 5.5 μB per cell
# ΔH_f (0 K) = -0.158 eV per atom
# calculated total energy = -112.42 eV for the cell shown
data_PaMnGaNi
_cell_length_a 6.3445
_cell_length_b 6.3445
_cell_length_c 6.3445
_cell_angle_alpha 90.00
_cell_angle_beta 90.00
_cell_angle_gamma 90.00
_space_group_name_H-M_alt 'F -4 3 m'
_space_group_IT_number 216
_space_group_name_Hall 'F -4 2 3'
loop_
_atom_site_label
_atom_site_type_symbol
_atom_site_fract_x
_atom_site_fract_y
_atom_site_fract_z
Pa1 Pa 0.0000 0.0000 0.0000
Mn1 Mn 0.2500 0.2500 0.7500
Ga1 Ga 0.0000 0.0000 0.5000
Ni1 Ni 0.2500 0.2500 0.2500